Entry 1:
The following is a DFT calculation (PBE) of a relaxed KMn crystal.

Structure (extended XYZ):
```
2
Lattice="3.412 0.000 0.000 0.000 3.412 0.000 0.000 0.000 5.636" Properties=species:S:1:pos:R:3 pbc="T T T"
K 0.000 0.000 0.000
Mn 1.706 1.706 2.818
```

Calculated values
DOS at the Fermi energy in states/eV/cell: 1.88
Total energy in eV/atom: -3.99
SG: P4/mmm, No. 123
Calculated density in Mg/m³: 2.38

---

Entry 2:
The following is a DFT calculation (PBE) of a relaxed Ti2FeOs crystal.

Structure (extended XYZ):
```
4
Lattice="-1.337 2.310 4.771 1.337 -2.310 4.771 1.337 2.310 -4.771" Properties=species:S:1:pos:R:3 pbc="T T T"
Ti 0.000 0.000 2.253
Ti 0.000 0.000 7.289
Fe 0.000 0.000 0.000
Os 0.000 0.000 4.771
```

Calculated values
DOS at the Fermi energy in states/eV/cell: 4.05
Total energy in eV/atom: -8.48
SG: Immm, No. 71
Calculated density in Mg/m³: 9.63

---

Entry 3:
The following is a DFT calculation (PBE) of a relaxed VBAs2Se crystal.

Structure (extended XYZ):
```
5
Lattice="4.749 0.000 0.000 0.000 4.749 0.000 0.000 0.000 4.721" Properties=species:S:1:pos:R:3 pbc="T T T"
V 0.000 0.000 0.000
B 2.375 2.375 2.361
As 0.000 2.375 0.000
As 2.375 0.000 0.000
Se 0.000 0.000 2.361
```

Calculated values
DOS at the Fermi energy in states/eV/cell: 3.03
Energy relative to the elements, uncorrected in meV/atom: 1016
SG: P4/mmm, No. 123
Calculated density in Mg/m³: 4.53